Entry 1:
! InHF2 | Alexandria via LeMat-Bulk | SCAN | single point on PBEsol structure; values from VASP
&SYSTEM
  ibrav = 0, nat = 12, ntyp = 3
/
ATOMIC_SPECIES
In 114.82 In.upf
H 1.01 H.upf
F 19.00 F.upf
ATOMIC_POSITIONS crystal
In 0.0000 0.0000 0.0000
In 0.3333 0.6667 0.6667
In 0.6667 0.3333 0.3333
H 0.0000 0.0000 0.5000
H 0.3333 0.6667 0.1667
H 0.6667 0.3333 0.8333
F 0.0000 0.0000 0.4246
F 0.0000 0.0000 0.5754
F 0.3333 0.6667 0.0913
F 0.3333 0.6667 0.2420
F 0.6667 0.3333 0.7580
F 0.6667 0.3333 0.9087
CELL_PARAMETERS angstrom
4.0625 0.0000 0.0000
-2.0313 3.5183 0.0000
0.0000 0.0000 15.2372
! Calculated total energy   -12.596 eV/atom
! V   217.8 Å³/cell

Entry 2:
! InH3F | Alexandria via LeMat-Bulk | SCAN | single point on PBEsol structure; values from VASP
&SYSTEM
  ibrav = 0, nat = 5, ntyp = 3
/
ATOMIC_SPECIES
In 114.82 In.upf
H 1.01 H.upf
F 19.00 F.upf
ATOMIC_POSITIONS crystal
In 0.0000 0.0000 0.0000
H 0.0000 0.5000 0.5000
H 0.5000 0.0000 0.5000
H 0.5000 0.5000 0.0000
F 0.5000 0.5000 0.5000
CELL_PARAMETERS angstrom
3.6121 0.0000 0.0000
0.0000 3.6121 0.0000
0.0000 0.0000 3.6121
! Calculated total energy   -8.708 eV/atom
! V   47.1 Å³/cell